Entry one
First-principles (PBE) data for an optimized crystal structure of La2Pm5Nd, as listed in Alexandria via LeMat-Bulk.

Structure (POSCAR):
```
La2Pm5Nd
1.0
2.8825 -6.0515 0.0000
2.8825 6.0515 0.0000
0.0000 0.0000 16.4291
La Pm Nd
4 10 2
direct
0.2195 0.7805 0.6294
0.2195 0.7805 0.8706
0.7805 0.2195 0.1294
0.7805 0.2195 0.3706
0.0775 0.9225 0.0908
0.0775 0.9225 0.4092
0.3815 0.6185 0.0504
0.3815 0.6185 0.4496
0.4632 0.5368 0.7500
0.5368 0.4632 0.2500
0.6185 0.3815 0.5504
0.6185 0.3815 0.9496
0.9225 0.0775 0.5908
0.9225 0.0775 0.9092
0.2591 0.7409 0.2500
0.7409 0.2591 0.7500
```

Results
V   35.82 A^3/atom
Theoretical density   6.65 g/cm³



Entry two
First-principles (PBE) data for an optimized crystal structure of La2Pm5Nd, as listed in Alexandria via LeMat-Bulk.

Structure (POSCAR):
```
La2Pm5Nd
1.0
11.9227 -3.2701 0.0000
11.9227 3.2701 0.0000
-10.4382 0.0000 14.6270
La Pm Nd
8 20 4
direct
0.0242 0.1093 0.2305
0.1093 0.0242 0.7305
0.2013 0.3577 0.4420
0.3577 0.2013 0.9420
0.6423 0.7987 0.0580
0.7987 0.6423 0.5580
0.8907 0.9758 0.2695
0.9758 0.8907 0.7695
0.0751 0.2292 0.9691
0.0778 0.3361 0.7132
0.1170 0.7759 0.4797
0.2241 0.8830 0.0203
0.2292 0.0751 0.4691
0.2995 0.3680 0.1667
0.3361 0.0778 0.2132
0.3680 0.2995 0.6667
0.4351 0.5202 0.1364
0.4798 0.5649 0.3636
0.5202 0.4351 0.6364
0.5649 0.4798 0.8636
0.6320 0.7005 0.3333
0.6639 0.9222 0.7868
0.7005 0.6320 0.8333
0.7708 0.9249 0.5309
0.7759 0.1170 0.9797
0.8830 0.2241 0.5203
0.9222 0.6639 0.2868
0.9249 0.7708 0.0309
0.2352 0.5383 0.8870
0.4617 0.7648 0.6130
0.5383 0.2352 0.3870
0.7648 0.4617 0.1130
```

Results
V   35.64 A^3/atom
Theoretical density   6.68 g/cm³



Stability check: which of them is most stable? entry two.



Entry one
First-principles (PBE) data for an optimized crystal structure of La3PmNd7, as listed in Alexandria via LeMat-Bulk.

Structure (POSCAR):
```
La3PmNd7
1.0
5.9877 -5.1778 0.0000
5.9877 5.1778 0.0000
-0.5712 0.0000 6.5314
La Pm Nd
3 1 7
direct
0.0000 0.0000 0.0000
0.1748 0.8252 0.5000
0.8252 0.1748 0.5000
0.5000 0.5000 0.0000
0.0834 0.4291 0.2385
0.2374 0.2374 0.7122
0.4291 0.0834 0.2385
0.5000 0.5000 0.5000
0.5709 0.9166 0.7615
0.7626 0.7626 0.2878
0.9166 0.5709 0.7615
```

Results
V   36.82 A^3/atom
Theoretical density   6.44 g/cm³



Entry two
First-principles (PBE) data for an optimized crystal structure of La3PmNd7, as listed in Alexandria via LeMat-Bulk.

Structure (POSCAR):
```
La3PmNd7
1.0
-3.0217 5.7532 5.7916
3.0217 -5.7532 5.7916
3.0217 5.7532 -5.7916
La Pm Nd
3 1 7
direct
0.0000 0.0000 0.0000
0.2112 0.5000 0.7112
0.7888 0.5000 0.2888
0.5000 0.0000 0.5000
0.9998 0.2014 0.7984
0.0002 0.7986 0.2016
0.2079 0.7079 0.5000
0.4030 0.2014 0.2016
0.5000 0.5000 0.0000
0.5970 0.7986 0.7984
0.7921 0.2921 0.5000
```

Results
V   36.61 A^3/atom
Theoretical density   6.48 g/cm³



Stability check: which of them is most stable? entry one.



Entry one
First-principles (PBE) data for an optimized crystal structure of La8Pm2Nd, as listed in Alexandria via LeMat-Bulk.

Structure (POSCAR):
```
La8Pm2Nd
1.0
4.6678 -8.4932 0.0000
4.6678 8.4932 0.0000
-3.4965 0.0000 5.0640
La Pm Nd
8 2 1
direct
0.0967 0.3347 0.6854
0.2048 0.7952 0.0000
0.3347 0.0967 0.6854
0.4223 0.4223 0.2015
0.5777 0.5777 0.7985
0.6653 0.9033 0.3146
0.7952 0.2048 0.0000
0.9033 0.6653 0.3146
0.3099 0.6901 0.5000
0.6901 0.3099 0.5000
0.0000 0.0000 0.0000
```

Results
V   36.50 A^3/atom
Theoretical density   6.39 g/cm³



Entry two
First-principles (PBE) data for an optimized crystal structure of La8Pm2Nd, as listed in Alexandria via LeMat-Bulk.

Structure (POSCAR):
```
La8Pm2Nd
1.0
5.2640 -6.9577 0.0000
5.2640 6.9577 0.0000
-0.0171 0.0000 5.6062
La Pm Nd
8 2 1
direct
0.1669 0.1669 0.9997
0.2020 0.4685 0.4990
0.2442 0.7558 0.0000
0.4685 0.2020 0.4990
0.5315 0.7980 0.5010
0.7558 0.2442 0.0000
0.7980 0.5315 0.5010
0.8331 0.8331 0.0003
0.1179 0.8821 0.5000
0.8821 0.1179 0.5000
0.5000 0.5000 0.0000
```

Results
V   37.33 A^3/atom
Theoretical density   6.25 g/cm³



Stability check: which of them is most stable? entry one.



Entry one
First-principles (PBE) data for an optimized crystal structure of LaPm6Nd3, as listed in Alexandria via LeMat-Bulk.

Structure (POSCAR):
```
LaPm6Nd3
1.0
5.5780 -9.7098 0.0000
5.5780 9.7098 0.0000
0.0000 0.0000 6.4535
La Pm Nd
2 12 6
direct
0.1884 0.8116 0.5000
0.8116 0.1884 0.0000
0.0362 0.9638 0.7358
0.0524 0.4691 0.2235
0.2812 0.7188 0.9593
0.2907 0.3731 0.0478
0.3731 0.2907 0.5478
0.4691 0.0524 0.7235
0.5309 0.9476 0.2235
0.6269 0.7093 0.0478
0.7093 0.6269 0.5478
0.7188 0.2812 0.4593
0.9476 0.5309 0.7235
0.9638 0.0362 0.2358
0.0593 0.2925 0.6389
0.2925 0.0593 0.1389
0.3834 0.6166 0.5121
0.6166 0.3834 0.0121
0.7075 0.9407 0.6389
0.9407 0.7075 0.1389
```

Results
V   34.95 A^3/atom
Theoretical density   6.85 g/cm³



Entry two
First-principles (PBE) data for an optimized crystal structure of LaPm6Nd3, as listed in Alexandria via LeMat-Bulk.

Structure (POSCAR):
```
LaPm6Nd3
1.0
5.0563 2.9193 3.9859
-5.0563 2.9193 3.9859
0.0000 -5.8385 3.9859
La Pm Nd
1 6 3
direct
0.0000 0.0000 0.0000
0.0004 0.3266 0.6745
0.1767 0.8245 0.5004
0.3266 0.6745 0.0004
0.5004 0.1767 0.8245
0.6745 0.0004 0.3266
0.8245 0.5004 0.1767
0.2505 0.2505 0.2505
0.5000 0.5000 0.5000
0.7497 0.7497 0.7497
```

Results
V   35.30 A^3/atom
Theoretical density   6.78 g/cm³



Stability check: which of them is most stable? entry one.



Entry one
First-principles (PBE) data for an optimized crystal structure of La2Pm3Nd6, as listed in Alexandria via LeMat-Bulk.

Structure (POSCAR):
```
La2Pm3Nd6
1.0
-2.4292 2.4292 17.2924
2.4292 -2.4292 17.2924
2.4292 2.4292 -17.2924
La Pm Nd
2 3 6
direct
0.0448 0.0448 0.0000
0.9552 0.9552 0.0000
0.3026 0.3026 0.0000
0.5000 0.5000 0.0000
0.6974 0.6974 0.0000
0.1221 0.6221 0.5000
0.2031 0.2031 0.0000
0.3779 0.8779 0.5000
0.6221 0.1221 0.5000
0.7969 0.7969 0.0000
0.8779 0.3779 0.5000
```

Results
V   37.11 A^3/atom
Theoretical density   6.42 g/cm³



Entry two
First-principles (PBE) data for an optimized crystal structure of La2Pm3Nd6, as listed in Alexandria via LeMat-Bulk.

Structure (POSCAR):
```
La2Pm3Nd6
1.0
3.0133 -5.8530 0.0000
3.0133 5.8530 0.0000
-1.6116 0.0000 11.3127
La Pm Nd
2 3 6
direct
0.1401 0.8599 0.0000
0.8599 0.1401 0.0000
0.1778 0.8222 0.5000
0.5000 0.5000 0.5000
0.8222 0.1778 0.5000
0.0873 0.0873 0.2682
0.2767 0.5912 0.7785
0.4088 0.7233 0.2215
0.5912 0.2767 0.7785
0.7233 0.4088 0.2215
0.9127 0.9127 0.7318
```

Results
V   36.28 A^3/atom
Theoretical density   6.57 g/cm³



Stability check: which of them is most stable? entry two.



Entry one
First-principles (PBE) data for an optimized crystal structure of La2Pm12Nd5, as listed in Alexandria via LeMat-Bulk.

Structure (POSCAR):
```
La2Pm12Nd5
1.0
10.2884 -3.7483 0.0000
10.2884 3.7483 0.0000
-1.6670 0.0000 8.7892
La Pm Nd
2 12 5
direct
0.2396 0.7604 0.0000
0.7604 0.2396 0.0000
0.0644 0.5942 0.2462
0.1450 0.6362 0.6414
0.1790 0.1790 0.0991
0.3638 0.8550 0.3586
0.4058 0.9356 0.7538
0.4606 0.4606 0.3255
0.5394 0.5394 0.6745
0.5942 0.0644 0.2462
0.6362 0.1450 0.6414
0.8210 0.8210 0.9009
0.8550 0.3638 0.3586
0.9356 0.4058 0.7538
0.0000 0.0000 0.5000
0.2516 0.2516 0.5021
0.3292 0.3292 0.9177
0.6708 0.6708 0.0823
0.7484 0.7484 0.4979
```

Results
V   35.68 A^3/atom
Theoretical density   6.71 g/cm³



Entry two
First-principles (PBE) data for an optimized crystal structure of La2Pm12Nd5, as listed in Alexandria via LeMat-Bulk.

Structure (POSCAR):
```
La2Pm12Nd5
1.0
8.0434 -4.7060 0.0000
8.0434 4.7060 0.0000
-0.4506 0.0000 8.8954
La Pm Nd
2 12 5
direct
0.1683 0.8317 0.0000
0.8317 0.1683 0.0000
0.0579 0.0579 0.3456
0.0636 0.6721 0.3189
0.1733 0.5322 0.7570
0.3279 0.9364 0.6811
0.4311 0.4311 0.1229
0.4678 0.8267 0.2430
0.5322 0.1733 0.7570
0.5689 0.5689 0.8771
0.6721 0.0636 0.3189
0.8267 0.4678 0.2430
0.9364 0.3279 0.6811
0.9421 0.9421 0.6544
0.2142 0.2142 0.0370
0.2670 0.2670 0.4327
0.5000 0.5000 0.5000
0.7330 0.7330 0.5673
0.7858 0.7858 0.9630
```

Results
V   35.44 A^3/atom
Theoretical density   6.75 g/cm³



Stability check: which of them is most stable? entry two.



Entry one
First-principles (PBE) data for an optimized crystal structure of LaPm7Nd3, as listed in Alexandria via LeMat-Bulk.

Structure (POSCAR):
```
LaPm7Nd3
1.0
-3.0055 5.7106 5.7384
3.0055 -5.7106 5.7384
3.0055 5.7106 -5.7384
La Pm Nd
1 7 3
direct
0.0000 0.0000 0.0000
0.0000 0.5000 0.5000
0.0968 0.3020 0.7948
0.2932 0.0000 0.2932
0.4929 0.6980 0.7948
0.5071 0.3020 0.2052
0.7068 0.0000 0.7068
0.9032 0.6980 0.2052
0.2917 0.7917 0.5000
0.5000 0.5000 0.0000
0.7083 0.2083 0.5000
```

Results
V   35.81 A^3/atom
Theoretical density   6.69 g/cm³



Entry two
First-principles (PBE) data for an optimized crystal structure of LaPm7Nd3, as listed in Alexandria via LeMat-Bulk.

Structure (POSCAR):
```
LaPm7Nd3
1.0
5.9673 -5.1265 0.0000
5.9673 5.1265 0.0000
-0.6301 0.0000 6.4980
La Pm Nd
1 7 3
direct
0.0000 0.0000 0.0000
0.0000 0.0000 0.5000
0.0740 0.4221 0.7603
0.2635 0.2635 0.2902
0.4221 0.0740 0.7603
0.5779 0.9260 0.2397
0.7365 0.7365 0.7098
0.9260 0.5779 0.2397
0.3269 0.6731 0.5000
0.5000 0.5000 0.0000
0.6731 0.3269 0.5000
```

Results
V   36.14 A^3/atom
Theoretical density   6.63 g/cm³



Stability check: which of them is most stable? entry two.



Entry one
First-principles (PBE) data for an optimized crystal structure of La2Pm6Nd3, as listed in Alexandria via LeMat-Bulk.

Structure (POSCAR):
```
La2Pm6Nd3
1.0
-2.4377 2.4377 17.1150
2.4377 -2.4377 17.1150
2.4377 2.4377 -17.1150
La Pm Nd
2 6 3
direct
0.0452 0.0452 0.0000
0.9548 0.9548 0.0000
0.1217 0.6217 0.5000
0.1973 0.1973 0.0000
0.3783 0.8783 0.5000
0.6217 0.1217 0.5000
0.8027 0.8027 0.0000
0.8783 0.3783 0.5000
0.2984 0.2984 0.0000
0.5000 0.5000 0.0000
0.7016 0.7016 0.0000
```

Results
V   36.98 A^3/atom
Theoretical density   6.45 g/cm³



Entry two
First-principles (PBE) data for an optimized crystal structure of La2Pm6Nd3, as listed in Alexandria via LeMat-Bulk.

Structure (POSCAR):
```
La2Pm6Nd3
1.0
3.0078 -5.8415 0.0000
3.0078 5.8415 0.0000
-1.5979 0.0000 11.2811
La Pm Nd
2 6 3
direct
0.1396 0.8604 0.0000
0.8604 0.1396 0.0000
0.0864 0.0864 0.2672
0.2764 0.5908 0.7794
0.4092 0.7236 0.2206
0.5908 0.2764 0.7794
0.7236 0.4092 0.2206
0.9136 0.9136 0.7328
0.1777 0.8223 0.5000
0.5000 0.5000 0.5000
0.8223 0.1777 0.5000
```

Results
V   36.04 A^3/atom
Theoretical density   6.62 g/cm³



Stability check: which of them is most stable? entry two.